# 1
Material: Li2TaVSi
Method: DFT, PBE-GGA
State: relaxed

abc: 4.400 4.626 4.400
angles: 90.00 90.00 90.00
Last column: magnetic moment on the atom in μB.
Fractional coordinates of all 5 atoms:
V  0.000  0.000  0.000  1.62
Li  0.500  0.000  0.000  0.04
Si  0.500  0.500  0.500  -0.01
Li  0.000  0.000  0.500  0.04
Ta  0.000  0.500  0.000  -0.20

The calculation puts the formation energy (no corrections) at 6.1 eV per formula unit. The value obtained for the volume is 90 Å³/f.u. Its spin magnetization is 1.74 μB/f.u.


# 2
Material: Li2TbSi2
Method: DFT, PBE-GGA
State: relaxed

abc: 4.006 4.006 6.302
angles: 108.54 108.54 90.00
Fractional coordinates of all 5 atoms:
Si  0.603  0.603  0.207
Li  0.750  0.250  0.500
Si  0.397  0.397  0.793
Tb  0.000  0.000  0.000
Li  0.250  0.750  0.500

The calculation puts the formation energy (no corrections) at -2.4 eV per formula unit. The value obtained for the volume is 90 Å³/f.u. Its spin magnetization is 0.00 μB/f.u.